Na2NdYO4 | PBE | relaxed

Properties
- symmetry = P2/m (10)
- E (eV/atom) = -6.897
- ΔE_f (raw) (meV per atom) = -2684

Cell lengths 3.5129, 6.0877, 5.9726 Å; angles 109.87, 90.00, 90.00 degrees
Element x y z (fractional)
O  0.5000  0.7524  0.7848
O  0.0000  0.7299  0.2132
Y  0.5000  0.5000  0.0000
O  0.5000  0.2476  0.2152
Na  0.5000  0.0000  0.5000
O  0.0000  0.2701  0.7868
Nd  0.0000  0.0000  0.0000
Na  0.0000  0.5000  0.5000

NaNd2ZnO5 | PBE | relaxed

Properties
- symmetry = P4/mbm (127)
- E (eV/atom) = -6.363
- ΔE_f (raw) (meV per atom) = -2261

Cell lengths 5.8227, 6.7527, 6.7527 Å; angles 90.00, 90.00, 90.00 degrees
Element x y z (fractional)
O  0.7537  0.8643  0.3643
Zn  0.0000  0.0000  0.5000
O  0.7537  0.3643  0.1357
O  0.7537  0.1357  0.6357
O  0.2463  0.3643  0.1357
Nd  0.5000  0.3250  0.8250
O  0.7537  0.6357  0.8643
Nd  0.5000  0.8250  0.6750
O  0.5000  0.5000  0.5000
Zn  0.0000  0.5000  0.0000
O  0.2463  0.1357  0.6357
O  0.2463  0.6357  0.8643
O  0.2463  0.8643  0.3643
Na  0.0000  0.5000  0.5000
Nd  0.5000  0.6750  0.1750
Nd  0.5000  0.1750  0.3250
Na  0.0000  0.0000  0.0000
O  0.5000  0.0000  0.0000

NaNd2Os | PBE | relaxed

Properties
- symmetry = R-3m (166)
- polymorph energy (0 for the lowest one) (meV/atom) = 166
- E (eV/atom) = -5.354

Cell lengths 4.1238, 4.1238, 10.8504 Å; angles 79.05, 79.05, 60.00 degrees
Element x y z (fractional)
Na  0.0000  0.0000  0.0000
Os  0.5000  0.5000  0.5000
Nd  0.1193  0.1193  0.6421
Nd  0.8807  0.8807  0.3579

NaNd2Os | PBE | relaxed

Properties
- symmetry = P4/mmm (123)
- polymorph energy (0 for the lowest one) (meV/atom) = 0
- E (eV/atom) = -5.520

Cell lengths 3.4956, 3.4956, 9.7263 Å; angles 90.00, 90.00, 90.00 degrees
Element x y z (fractional)
Os  0.5000  0.5000  0.0000
Nd  0.0000  0.0000  0.8230
Nd  0.0000  0.0000  0.1770
Na  0.5000  0.5000  0.5000

NaNdSmOs | PBE | relaxed

Properties
- symmetry = F-43m (216)
- E (eV/atom) = -5.392

Cell lengths 5.1352, 5.1352, 5.1352 Å; angles 60.00, 60.00, 60.00 degrees
Element x y z (fractional)
Os  0.2500  0.2500  0.2500
Sm  0.5000  0.5000  0.5000
Na  0.7500  0.7500  0.7500
Nd  0.0000  0.0000  0.0000

NaNd2P | PBE | relaxed

Properties
- symmetry = R-3m (166)
- E (eV/atom) = -4.652

Cell lengths 3.9547, 3.9547, 11.0030 Å; angles 79.65, 79.65, 60.00 degrees
Element x y z (fractional)
Nd  0.8838  0.8838  0.3485
Na  0.0000  0.0000  0.0000
P  0.5000  0.5000  0.5000
Nd  0.1162  0.1162  0.6515

NaNdP | PBE | relaxed

Properties
- symmetry = R-3m (166)
- E (eV/atom) = -4.487

Cell lengths 4.8746, 4.8746, 10.1835 Å; angles 76.15, 76.15, 60.00 degrees
Element x y z (fractional)
Na  0.1288  0.1288  0.6135
P  0.6151  0.6151  0.1546
Na  0.8712  0.8712  0.3865
P  0.3849  0.3849  0.8454
Nd  0.2871  0.2871  0.1388
Nd  0.7130  0.7130  0.8612

NaNd2PaP4 | PBE | relaxed

Properties
- symmetry = P2/m (10)
- E (eV/atom) = -6.353

Cell lengths 4.1478, 7.0675, 7.0860 Å; angles 108.70, 90.00, 90.00 degrees
Element x y z (fractional)
Nd  0.5000  0.0000  0.5000
P  0.5000  0.2362  0.2369
P  0.5000  0.7638  0.7631
P  0.0000  0.7707  0.2433
Na  0.5000  0.5000  0.0000
Nd  0.0000  0.5000  0.5000
Pa  0.0000  0.0000  0.0000
P  0.0000  0.2293  0.7567